Record 1
Er2InH2 | PBE-GGA | optimized geometry

Cell: 3.705 3.705 6.670 Å, 106.13 106.13 90.00°
Positions (direct):
Er (0.348, 0.348, 0.696)
Er (0.652, 0.652, 0.304)
H (0.750, 0.250, 0.500)
H (0.250, 0.750, 0.500)
In (0.000, 0.000, 0.000)

Computed properties:
Total energy = -4.345 eV per atom
Theoretical density = 8.9 g/cm3
Space group = I4/mmm
Magnetization = 0.0 μB per formula unit



Record 2
CeNi2Pt3 | PBE-GGA | optimized geometry

Cell: 4.095 5.338 5.337 Å, 120.00 90.00 90.00°
Last column: magnetic moment on the atom in μB.
Positions (direct):
Pt (0.500, 0.501, 0.000)  0.06
Pt (0.500, 0.501, 0.500)  0.06
Pt (0.500, 0.001, 0.500)  0.06
Ni (0.000, 0.668, 0.333)  0.17
Ni (0.000, 0.334, 0.667)  0.17
Ce (0.000, 0.001, 0.000)  -0.51

Computed properties:
Energy above the lowest structure with this stoichiometry = 0.000 eV/atom
Total energy = -6.578 eV per atom
Theoretical density = 13.9 g/cm3
Space group = P6/mmm
Magnetization = 0.1 μB per formula unit



Record 3
Ho4GeSb2Te | PBE-GGA | optimized geometry

Cell: 4.292 7.484 7.462 Å, 109.19 90.00 90.00°
Positions (direct):
Ho (0.500, 0.265, 0.247)
Ho (0.000, 0.266, 0.762)
Ho (0.500, 0.735, 0.753)
Ho (0.000, 0.734, 0.238)
Sb (0.000, 0.500, 0.500)
Sb (0.500, 0.000, 0.500)
Te (0.000, 0.000, 0.000)
Ge (0.500, 0.500, 0.000)

Computed properties:
Energy relative to the elements, uncorrected = -1114 meV/atom
Total energy = -5.404 eV per atom
Theoretical density = 8.1 g/cm3
Space group = P2/m
Magnetization = 0.0 μB per formula unit